Below is LiCoNiSb after structural relaxation, with properties calculated at the PBE level.

```
data_LiCoNiSb
_chemical_formula_sum 'Li4 Co4 Ni4 Sb4'
_symmetry_space_group_name_H-M 'F -4 3 m'
_symmetry_Int_Tables_number 216
_symmetry_space_group_name_Hall 'F -4 2 3'
_cell_length_a 5.9340
_cell_length_b 5.9340
_cell_length_c 5.9340
_cell_angle_alpha 90.00
_cell_angle_beta 90.00
_cell_angle_gamma 90.00
loop_
_atom_site_label
_atom_site_fract_x
_atom_site_fract_y
_atom_site_fract_z
Li1 0.0000 0.0000 0.0000
Co1 0.2500 0.2500 0.7500
Ni1 0.0000 0.0000 0.5000
Sb1 0.2500 0.2500 0.2500
```

Calculated values
**ΔE to the lowest computed polymorph**: 172 meV per atom
**Calculated total energy**: -75.41 eV/cell
**Size of the total moment**: 0.34 μB per atom

***

Below is LiTlCoNi after structural relaxation, with properties calculated at the PBE level.

```
data_LiTlCoNi
_chemical_formula_sum 'Li4 Tl4 Co4 Ni4'
_symmetry_space_group_name_H-M 'F -4 3 m'
_symmetry_Int_Tables_number 216
_symmetry_space_group_name_Hall 'F -4 2 3'
_cell_length_a 6.0487
_cell_length_b 6.0487
_cell_length_c 6.0487
_cell_angle_alpha 90.00
_cell_angle_beta 90.00
_cell_angle_gamma 90.00
loop_
_atom_site_label
_atom_site_fract_x
_atom_site_fract_y
_atom_site_fract_z
Li1 0.0000 0.0000 0.0000
Tl1 0.2500 0.2500 0.2500
Co1 0.2500 0.2500 0.7500
Ni1 0.0000 0.0000 0.5000
```

Calculated values
**ΔE to the lowest computed polymorph**: 5 meV per atom
**Calculated total energy**: -64.39 eV/cell
**Size of the total moment**: 0.44 μB per atom

***

Below is LiTlCoNi after structural relaxation, with properties calculated at the PBE level.

```
data_LiTlCoNi
_chemical_formula_sum 'Li4 Tl4 Co4 Ni4'
_symmetry_space_group_name_H-M 'F -4 3 m'
_symmetry_Int_Tables_number 216
_symmetry_space_group_name_Hall 'F -4 2 3'
_cell_length_a 6.0529
_cell_length_b 6.0529
_cell_length_c 6.0529
_cell_angle_alpha 90.00
_cell_angle_beta 90.00
_cell_angle_gamma 90.00
loop_
_atom_site_label
_atom_site_fract_x
_atom_site_fract_y
_atom_site_fract_z
Li1 0.0000 0.0000 0.0000
Tl1 0.2500 0.2500 0.2500
Co1 0.0000 0.0000 0.5000
Ni1 0.2500 0.2500 0.7500
```

Calculated values
**ΔE to the lowest computed polymorph**: 0 meV per atom
**Calculated total energy**: -64.47 eV/cell
**Size of the total moment**: 0.35 μB per atom

***

Below is LiNpCo after structural relaxation, with properties calculated at the PBE level.

```
data_LiNpCo
_chemical_formula_sum 'Li4 Np4 Co4'
_symmetry_space_group_name_H-M 'F -4 3 m'
_symmetry_Int_Tables_number 216
_symmetry_space_group_name_Hall 'F -4 2 3'
_cell_length_a 6.0128
_cell_length_b 6.0128
_cell_length_c 6.0128
_cell_angle_alpha 90.00
_cell_angle_beta 90.00
_cell_angle_gamma 90.00
loop_
_atom_site_label
_atom_site_fract_x
_atom_site_fract_y
_atom_site_fract_z
Li1 0.0000 0.0000 0.0000
Np1 0.0000 0.0000 0.5000
Co1 0.2500 0.2500 0.2500
```

Calculated values
**ΔE to the lowest computed polymorph**: 0 meV per atom
**Calculated total energy**: -80.49 eV/cell
**Size of the total moment**: 1.37 μB per atom

***

Below is LiNpCo after structural relaxation, with properties calculated at the PBE level.

```
data_LiNpCo
_chemical_formula_sum 'Li4 Np4 Co4'
_symmetry_space_group_name_H-M 'F -4 3 m'
_symmetry_Int_Tables_number 216
_symmetry_space_group_name_Hall 'F -4 2 3'
_cell_length_a 5.9211
_cell_length_b 5.9211
_cell_length_c 5.9211
_cell_angle_alpha 90.00
_cell_angle_beta 90.00
_cell_angle_gamma 90.00
loop_
_atom_site_label
_atom_site_fract_x
_atom_site_fract_y
_atom_site_fract_z
Li1 0.0000 0.0000 0.0000
Np1 0.2500 0.2500 0.2500
Co1 0.0000 0.0000 0.5000
```

Calculated values
**ΔE to the lowest computed polymorph**: 820 meV per atom
**Calculated total energy**: -70.65 eV/cell
**Size of the total moment**: 0.04 μB per atom